Material: K2Nb2PbO7
Method: DFT, GGA-PBE
State: optimized geometry

## Properties
As for the symmetry: C2/m (12). Its formation energy from raw total energies is -2.204 eV/atom. As for the final energy: -7.266 eV per atom.

Unit cell a=4.056 b=4.056 c=11.409 alpha=79.86 beta=79.86 gamma=89.99
Element x y z (fractional)
Nb1 0.397 0.397 0.196
O1 0.681 0.681 0.635
O2 0.414 0.912 0.181
K1 0.194 0.194 0.616
Pb1 0.000 0.000 0.000
O3 0.586 0.088 0.819
O4 0.912 0.414 0.181
Nb2 0.603 0.603 0.804
O5 0.500 0.500 0.000
O6 0.088 0.586 0.819
O7 0.319 0.319 0.365
K2 0.806 0.806 0.384